a | Compound: CdIrRu
Source: the Alexandria database
Functional: PBE-GGA
Structure: relaxed

```
data_CdIrRu
_symmetry_space_group_name_H-M 'I m m 2'
_symmetry_Int_Tables_number 44
_symmetry_space_group_name_Hall 'I 2 -2'
_cell_length_a 2.794
_cell_length_b 3.680
_cell_length_c 9.780
_cell_angle_alpha 90.00
_cell_angle_beta 90.00
_cell_angle_gamma 90.00
loop_
_atom_site_label
_atom_site_fract_x
_atom_site_fract_y
_atom_site_fract_z
_atom_site_occupancy
Cd1 0.000 0.000 0.000 1
Ir1 0.000 0.000 0.691 1
Ru1 0.000 0.000 0.307 1
```

***

b | Compound: CdIrRu
Source: the Alexandria database
Functional: PBE-GGA
Structure: relaxed

```
data_CdIrRu
_symmetry_space_group_name_H-M 'F -4 3 m'
_symmetry_Int_Tables_number 216
_symmetry_space_group_name_Hall 'F -4 2 3'
_cell_length_a 6.076
_cell_length_b 6.076
_cell_length_c 6.076
_cell_angle_alpha 90.00
_cell_angle_beta 90.00
_cell_angle_gamma 90.00
loop_
_atom_site_label
_atom_site_fract_x
_atom_site_fract_y
_atom_site_fract_z
_atom_site_occupancy
Cd1 0.000 0.000 0.000 1
Ir1 0.000 0.000 0.500 1
Ru1 0.250 0.250 0.250 1
```

***

a ends up most stable, edging out the next structure by 36.9 kJ/mol of atoms.